Record 1
Computed, not measured: a geometry-optimized PrSm2Dy3P6 structure at the GGA-PBE level of DFT.

Geometry as POSCAR:
```
PrSm2Dy3P6
1.0
3.529 -6.111 0.000
3.529 6.111 0.000
-2.350 0.000 6.652
Pr Sm Dy P
1 2 3 6
direct
0.000 0.000 0.000
0.333 0.667 0.000
0.667 0.333 0.000
0.166 0.834 0.500
0.500 0.500 0.500
0.834 0.166 0.500
0.086 0.422 0.258
0.250 0.250 0.742
0.422 0.086 0.258
0.578 0.914 0.742
0.750 0.750 0.258
0.914 0.578 0.742
```

ΔE_f, eV per atom: -1.577
Fermi-level density of states, states/eV/f.u.: 1.58
Calculated volume, A^3/atom: 23.910
Magnetic moment, μB per cell: 0.0
Crystal system: monoclinic



Record 2
Computed, not measured: a geometry-optimized Y4Ga12Pd structure at the GGA-PBE level of DFT.

Geometry as POSCAR:
```
Y4Ga12Pd
1.0
-4.320 4.320 4.320
4.320 -4.320 4.320
4.320 4.320 -4.320
Y Ga Pd
4 12 1
direct
0.000 0.000 0.500
0.000 0.500 0.000
0.500 0.000 0.000
0.500 0.500 0.500
0.000 0.296 0.296
0.000 0.704 0.704
0.250 0.500 0.750
0.250 0.750 0.500
0.296 0.000 0.296
0.296 0.296 0.000
0.500 0.250 0.750
0.500 0.750 0.250
0.704 0.000 0.704
0.704 0.704 0.000
0.750 0.250 0.500
0.750 0.500 0.250
0.000 0.000 0.000
```

ΔE_f, eV per atom: -0.617
Fermi-level density of states, states/eV/f.u.: 0.24
Calculated volume, A^3/atom: 18.970
Magnetic moment, μB per cell: 0.0
Crystal system: cubic



What did the second record say?
Computed, not measured: a geometry-optimized Y4Ga12Pd structure at the GGA-PBE level of DFT.

Geometry as POSCAR:
```
Y4Ga12Pd
1.0
-4.320 4.320 4.320
4.320 -4.320 4.320
4.320 4.320 -4.320
Y Ga Pd
4 12 1
direct
0.000 0.000 0.500
0.000 0.500 0.000
0.500 0.000 0.000
0.500 0.500 0.500
0.000 0.296 0.296
0.000 0.704 0.704
0.250 0.500 0.750
0.250 0.750 0.500
0.296 0.000 0.296
0.296 0.296 0.000
0.500 0.250 0.750
0.500 0.750 0.250
0.704 0.000 0.704
0.704 0.704 0.000
0.750 0.250 0.500
0.750 0.500 0.250
0.000 0.000 0.000
```

ΔE_f, eV per atom: -0.617
Fermi-level density of states, states/eV/f.u.: 0.24
Calculated volume, A^3/atom: 18.970
Magnetic moment, μB per cell: 0.0
Crystal system: cubic



Q: Which value of Fermi-level density of states does entry 2 give?
A: 0.24 states/eV/f.u.



Repeat the second record exactly.
Computed, not measured: a geometry-optimized Y4Ga12Pd structure at the GGA-PBE level of DFT.

Geometry as POSCAR:
```
Y4Ga12Pd
1.0
-4.320 4.320 4.320
4.320 -4.320 4.320
4.320 4.320 -4.320
Y Ga Pd
4 12 1
direct
0.000 0.000 0.500
0.000 0.500 0.000
0.500 0.000 0.000
0.500 0.500 0.500
0.000 0.296 0.296
0.000 0.704 0.704
0.250 0.500 0.750
0.250 0.750 0.500
0.296 0.000 0.296
0.296 0.296 0.000
0.500 0.250 0.750
0.500 0.750 0.250
0.704 0.000 0.704
0.704 0.704 0.000
0.750 0.250 0.500
0.750 0.500 0.250
0.000 0.000 0.000
```

ΔE_f, eV per atom: -0.617
Fermi-level density of states, states/eV/f.u.: 0.24
Calculated volume, A^3/atom: 18.970
Magnetic moment, μB per cell: 0.0
Crystal system: cubic